A relaxed CeZr2Rh crystal, computed with PBE-GGA.

Summary:
E (eV/cell): -31.7
E_form (eV/atom): -0.327
D(E_F) (states/eV/cell): 6.3
Space-group type: No. 123
Energy above the lowest structure with this stoichiometry (meV/atom): 13.5
ρ (Mg/m³): 8.18

Structure (CIF):
```
data_CeZr2Rh
_chemical_formula_sum 'Ce1 Zr2 Rh1'
_cell_length_a 3.332
_cell_length_b 3.332
_cell_length_c 7.784
_cell_angle_alpha 90.00
_cell_angle_beta 90.00
_cell_angle_gamma 90.00
_space_group_name_H-M_alt 'P 1'
_space_group_IT_number 1
loop_
_space_group_symop_operation_xyz
'x,y,z'
loop_
_atom_site_label
_atom_site_type_symbol
_atom_site_fract_x
_atom_site_fract_y
_atom_site_fract_z
Rh1 Rh 0.500 0.500 0.000
Zr1 Zr 0.000 0.000 0.793
Zr2 Zr 0.000 0.000 0.207
Ce1 Ce 0.500 0.500 0.500
```

***

A relaxed CeZr2Rh crystal, computed with PBE-GGA.

Summary:
E (eV/cell): -127.0
E_form (eV/atom): -0.340
D(E_F) (states/eV/cell): 26.2
Space-group type: No. 62
Energy above the lowest structure with this stoichiometry (meV/atom): 0.0
ρ (Mg/m³): 7.70

Structure (CIF):
```
data_CeZr2Rh
_chemical_formula_sum 'Ce4 Zr8 Rh4'
_cell_length_a 5.942
_cell_length_b 6.544
_cell_length_c 9.435
_cell_angle_alpha 90.00
_cell_angle_beta 90.00
_cell_angle_gamma 90.00
_space_group_name_H-M_alt 'P 1'
_space_group_IT_number 1
loop_
_space_group_symop_operation_xyz
'x,y,z'
loop_
_atom_site_label
_atom_site_type_symbol
_atom_site_fract_x
_atom_site_fract_y
_atom_site_fract_z
Ce1 Ce 0.650 0.532 0.250
Ce2 Ce 0.850 0.032 0.250
Ce3 Ce 0.350 0.468 0.750
Ce4 Ce 0.150 0.968 0.750
Zr1 Zr 0.147 0.692 0.053
Zr2 Zr 0.353 0.192 0.447
Zr3 Zr 0.853 0.308 0.553
Zr4 Zr 0.647 0.808 0.947
Zr5 Zr 0.853 0.308 0.947
Zr6 Zr 0.647 0.808 0.553
Zr7 Zr 0.147 0.692 0.447
Zr8 Zr 0.353 0.192 0.053
Rh1 Rh 0.088 0.385 0.250
Rh2 Rh 0.412 0.885 0.250
Rh3 Rh 0.912 0.615 0.750
Rh4 Rh 0.588 0.115 0.750
```

***

A relaxed CeZrRh2 crystal, computed with PBE-GGA.

Summary:
E (eV/cell): -31.6
E_form (eV/atom): -0.604
D(E_F) (states/eV/cell): 3.1
Space-group type: No. 166
ρ (Mg/m³): 8.59

Structure (CIF):
```
data_CeZrRh2
_chemical_formula_sum 'Ce1 Zr1 Rh2'
_cell_length_a 3.923
_cell_length_b 3.923
_cell_length_c 6.735
_cell_angle_alpha 73.07
_cell_angle_beta 73.07
_cell_angle_gamma 60.00
_space_group_name_H-M_alt 'P 1'
_space_group_IT_number 1
loop_
_space_group_symop_operation_xyz
'x,y,z'
loop_
_atom_site_label
_atom_site_type_symbol
_atom_site_fract_x
_atom_site_fract_y
_atom_site_fract_z
Rh1 Rh 0.746 0.746 0.762
Rh2 Rh 0.254 0.254 0.238
Zr1 Zr 0.000 0.000 0.000
Ce1 Ce 0.500 0.500 0.500
```

***

A relaxed CeZr2Rh crystal, computed with PBE-GGA.

Summary:
E (eV/cell): -30.7
E_form (eV/atom): -0.087
D(E_F) (states/eV/cell): 8.9
Space-group type: No. 160
Energy above the lowest structure with this stoichiometry (meV/atom): 253.0
ρ (Mg/m³): 7.20

Structure (CIF):
```
data_CeZr2Rh
_chemical_formula_sum 'Ce1 Zr2 Rh1'
_cell_length_a 4.365
_cell_length_b 4.365
_cell_length_c 6.457
_cell_angle_alpha 70.24
_cell_angle_beta 70.24
_cell_angle_gamma 60.00
_space_group_name_H-M_alt 'P 1'
_space_group_IT_number 1
loop_
_space_group_symop_operation_xyz
'x,y,z'
loop_
_atom_site_label
_atom_site_type_symbol
_atom_site_fract_x
_atom_site_fract_y
_atom_site_fract_z
Ce1 Ce 0.492 0.492 0.525
Zr1 Zr 0.056 0.056 0.833
Zr2 Zr 0.277 0.277 0.169
Rh1 Rh 0.676 0.676 0.972
```

***

A relaxed Ce2ZrRh9 crystal, computed with PBE-GGA.

Summary:
E (eV/cell): -94.3
E_form (eV/atom): -0.646
D(E_F) (states/eV/cell): 12.0
Space-group type: No. 123
ρ (Mg/m³): 10.96

Structure (CIF):
```
data_Ce2ZrRh9
_chemical_formula_sum 'Ce2 Zr1 Rh9'
_cell_length_a 4.035
_cell_length_b 4.035
_cell_length_c 12.079
_cell_angle_alpha 90.00
_cell_angle_beta 90.00
_cell_angle_gamma 90.00
_space_group_name_H-M_alt 'P 1'
_space_group_IT_number 1
loop_
_space_group_symop_operation_xyz
'x,y,z'
loop_
_atom_site_label
_atom_site_type_symbol
_atom_site_fract_x
_atom_site_fract_y
_atom_site_fract_z
Ce1 Ce 0.000 0.000 0.331
Ce2 Ce 0.000 0.000 0.669
Zr1 Zr 0.000 0.000 0.000
Rh1 Rh 0.500 0.500 0.000
Rh2 Rh 0.500 0.500 0.330
Rh3 Rh 0.500 0.500 0.670
Rh4 Rh 0.500 0.000 0.160
Rh5 Rh 0.500 0.000 0.500
Rh6 Rh 0.500 0.000 0.840
Rh7 Rh 0.000 0.500 0.160
Rh8 Rh 0.000 0.500 0.500
Rh9 Rh 0.000 0.500 0.840
```

***

A relaxed CeZrRh crystal, computed with PBE-GGA.

Summary:
E (eV/cell): -22.6
E_form (eV/atom): -0.257
D(E_F) (states/eV/cell): 4.6
Space-group type: No. 156
Energy above the lowest structure with this stoichiometry (meV/atom): 138.6
ρ (Mg/m³): 8.37

Structure (CIF):
```
data_CeZrRh
_chemical_formula_sum 'Ce1 Zr1 Rh1'
_cell_length_a 3.774
_cell_length_b 4.504
_cell_length_c 4.504
_cell_angle_alpha 120.00
_cell_angle_beta 90.00
_cell_angle_gamma 90.00
_space_group_name_H-M_alt 'P 1'
_space_group_IT_number 1
loop_
_space_group_symop_operation_xyz
'x,y,z'
loop_
_atom_site_label
_atom_site_type_symbol
_atom_site_fract_x
_atom_site_fract_y
_atom_site_fract_z
Rh1 Rh 0.055 0.000 0.000
Zr1 Zr 0.261 0.333 0.667
Ce1 Ce 0.684 0.667 0.333
```

***

A relaxed CeZrRh2 crystal, computed with PBE-GGA.

Summary:
E (eV/cell): -32.0
E_form (eV/atom): -0.710
D(E_F) (states/eV/cell): 5.9
Space-group type: No. 123
ρ (Mg/m³): 9.29

Structure (CIF):
```
data_CeZrRh2
_chemical_formula_sum 'Ce1 Zr1 Rh2'
_cell_length_a 3.319
_cell_length_b 3.319
_cell_length_c 7.091
_cell_angle_alpha 90.00
_cell_angle_beta 90.00
_cell_angle_gamma 90.00
_space_group_name_H-M_alt 'P 1'
_space_group_IT_number 1
loop_
_space_group_symop_operation_xyz
'x,y,z'
loop_
_atom_site_label
_atom_site_type_symbol
_atom_site_fract_x
_atom_site_fract_y
_atom_site_fract_z
Rh1 Rh 0.000 0.000 0.781
Rh2 Rh 0.000 0.000 0.219
Zr1 Zr 0.500 0.500 0.000
Ce1 Ce 0.500 0.500 0.500
```

***

A relaxed CeZr2Rh crystal, computed with PBE-GGA.

Summary:
E (eV/cell): -31.3
E_form (eV/atom): -0.230
D(E_F) (states/eV/cell): 3.7
Space-group type: No. 225
Energy above the lowest structure with this stoichiometry (meV/atom): 110.0
ρ (Mg/m³): 8.84

Structure (CIF):
```
data_CeZr2Rh
_chemical_formula_sum 'Ce1 Zr2 Rh1'
_cell_length_a 4.836
_cell_length_b 4.836
_cell_length_c 4.835
_cell_angle_alpha 59.99
_cell_angle_beta 59.99
_cell_angle_gamma 60.00
_space_group_name_H-M_alt 'P 1'
_space_group_IT_number 1
loop_
_space_group_symop_operation_xyz
'x,y,z'
loop_
_atom_site_label
_atom_site_type_symbol
_atom_site_fract_x
_atom_site_fract_y
_atom_site_fract_z
Rh1 Rh 0.000 0.000 0.000
Zr1 Zr 0.250 0.250 0.250
Zr2 Zr 0.750 0.750 0.750
Ce1 Ce 0.500 0.500 0.500
```

***

A relaxed CeZrRh4 crystal, computed with PBE-GGA.

Summary:
E (eV/cell): -47.5
E_form (eV/atom): -0.601
D(E_F) (states/eV/cell): 7.8
Space-group type: No. 216
ρ (Mg/m³): 10.16

Structure (CIF):
```
data_CeZrRh4
_chemical_formula_sum 'Ce1 Zr1 Rh4'
_cell_length_a 5.297
_cell_length_b 5.297
_cell_length_c 5.297
_cell_angle_alpha 60.00
_cell_angle_beta 60.00
_cell_angle_gamma 60.00
_space_group_name_H-M_alt 'P 1'
_space_group_IT_number 1
loop_
_space_group_symop_operation_xyz
'x,y,z'
loop_
_atom_site_label
_atom_site_type_symbol
_atom_site_fract_x
_atom_site_fract_y
_atom_site_fract_z
Rh1 Rh 0.625 0.625 0.126
Rh2 Rh 0.625 0.126 0.625
Rh3 Rh 0.625 0.625 0.625
Rh4 Rh 0.126 0.625 0.625
Zr1 Zr 0.250 0.250 0.250
Ce1 Ce 0.000 0.000 0.000
```

***

A relaxed CeZrRh crystal, computed with PBE-GGA.

Summary:
E (eV/cell): -23.0
E_form (eV/atom): -0.395
D(E_F) (states/eV/cell): 5.4
Space-group type: No. 107
Energy above the lowest structure with this stoichiometry (meV/atom): 0.0
ρ (Mg/m³): 8.51

Structure (CIF):
```
data_CeZrRh
_chemical_formula_sum 'Ce1 Zr1 Rh1'
_cell_length_a 3.408
_cell_length_b 3.408
_cell_length_c 6.108
_cell_angle_alpha 106.20
_cell_angle_beta 106.20
_cell_angle_gamma 90.00
_space_group_name_H-M_alt 'P 1'
_space_group_IT_number 1
loop_
_space_group_symop_operation_xyz
'x,y,z'
loop_
_atom_site_label
_atom_site_type_symbol
_atom_site_fract_x
_atom_site_fract_y
_atom_site_fract_z
Rh1 Rh 0.676 0.676 0.352
Zr1 Zr 0.309 0.309 0.618
Ce1 Ce 0.015 0.015 0.030
```

***

A relaxed CeRu2 crystal, computed with PBE-GGA.

Summary:
E (eV/cell): -24.6
E_form (eV/atom): -0.042
D(E_F) (states/eV/cell): 3.3
Space-group type: No. 139
ρ (Mg/m³): 10.08

Structure (CIF):
```
data_CeRu2
_chemical_formula_sum 'Ce1 Ru2'
_cell_length_a 3.742
_cell_length_b 3.742
_cell_length_c 4.821
_cell_angle_alpha 112.91
_cell_angle_beta 112.91
_cell_angle_gamma 90.00
_space_group_name_H-M_alt 'P 1'
_space_group_IT_number 1
loop_
_space_group_symop_operation_xyz
'x,y,z'
loop_
_atom_site_label
_atom_site_type_symbol
_atom_site_fract_x
_atom_site_fract_y
_atom_site_fract_z
Ru1 Ru 0.202 0.202 0.403
Ru2 Ru 0.798 0.798 0.597
Ce1 Ce 0.500 0.500 0.000
```

***

A relaxed Ce7Ru5 crystal, computed with PBE-GGA.

Summary:
E (eV/cell): -91.2
E_form (eV/atom): -0.273
D(E_F) (states/eV/cell): 21.9
Space-group type: No. 12
ρ (Mg/m³): 8.57

Structure (CIF):
```
data_Ce7Ru5
_chemical_formula_sum 'Ce7 Ru5'
_cell_length_a 3.885
_cell_length_b 6.733
_cell_length_c 11.979
_cell_angle_alpha 105.60
_cell_angle_beta 90.00
_cell_angle_gamma 106.77
_space_group_name_H-M_alt 'P 1'
_space_group_IT_number 1
loop_
_space_group_symop_operation_xyz
'x,y,z'
loop_
_atom_site_label
_atom_site_type_symbol
_atom_site_fract_x
_atom_site_fract_y
_atom_site_fract_z
Ce1 Ce 0.263 0.525 0.646
Ce2 Ce 0.737 0.475 0.354
Ce3 Ce 0.963 0.926 0.216
Ce4 Ce 0.037 0.074 0.784
Ce5 Ce 0.658 0.317 0.056
Ce6 Ce 0.500 0.000 0.500
Ce7 Ce 0.342 0.683 0.944
Ru1 Ru 0.113 0.226 0.423
Ru2 Ru 0.887 0.774 0.577
Ru3 Ru 0.310 0.621 0.200
Ru4 Ru 0.690 0.379 0.800
Ru5 Ru 0.000 0.000 0.000
```